[1]
This record from Alexandria describes a relaxed structure of Ca3Tl4Cd4. The functional is PBE.

Results
energy relative to the elements	-20.9	kJ per mole of atoms
relative energy among the computed polymorphs	21	meV per atom

Cell lengths 4.7152, 8.0474, 16.3356 Å; angles 90.00, 90.00, 90.00 degrees
With the nearest neighbours (Å) after each atom.
Space group Immm (No. 71)
Asymmetric unit:
1 Ca 0.0000 0.0000 0.0000 [2 per cell]  6 Tl 3.43-3.68
2 Ca 0.0000 0.5000 0.1229 [4 per cell]  6 Tl 3.42-3.46, 6 Cd 3.50-3.76
3 Tl 0.0000 0.0000 0.2253 [4 per cell]  6 Cd 2.97-3.04
4 Tl 0.0000 0.1907 0.5000 [4 per cell]  2 Cd 2.90, 1 Tl 3.07
5 Cd 0.0000 0.3084 0.3325 [8 per cell]  4 Tl 2.90-3.04, 1 Cd 3.08

---

[2]
This record from Alexandria describes a relaxed structure of CaTl5Cd. The functional is PBE.

Results
energy relative to the elements	28.8	kJ per mole of atoms
relative energy among the computed polymorphs	394	meV per atom

Cell lengths 5.8187, 8.6230, 12.1693 Å; angles 90.00, 90.00, 90.00 degrees
With the nearest neighbours (Å) after each atom.
Space group Immm (No. 71)
Asymmetric unit:
1 Ca 0.0000 0.0000 0.0000 [2 per cell]  6 Tl 3.13-3.28
2 Tl 0.0000 0.0000 0.2575 [4 per cell]  1 Cd 2.95, 1 Ca 3.13
3 Tl 0.0000 0.3253 0.5000 [4 per cell]  1 Cd 2.80, 1 Tl 3.01
4 Tl 0.0000 0.5000 0.0000 [2 per cell]  2 Cd 2.91
5 Cd 0.0000 0.0000 0.5000 [2 per cell]  6 Tl 2.80-2.95

---

[3]
This record from Alexandria describes a relaxed structure of Ca4TlCd. The functional is PBE.

Results
energy relative to the elements	-14.5	kJ per mole of atoms
relative energy among the computed polymorphs	19	meV per atom

Cell lengths 7.6715, 7.6716, 7.5718 Å; angles 90.00, 90.14, 90.00 degrees
With the nearest neighbours (Å) after each atom.
Space group C2/m (No. 12)
Asymmetric unit:
1 Ca 0.2502 0.2503 0.2429 [8 per cell]  2 Tl 3.28, 2 Cd 3.34
2 Tl 0.0000 0.0000 0.0000 [2 per cell]  8 Ca 3.28
3 Cd 0.0000 0.5000 0.5000 [2 per cell]  8 Ca 3.34

---

[4]
This record from Alexandria describes a relaxed structure of Ca3TlCd2. The functional is PBE.

Results
energy relative to the elements	-37.8	kJ per mole of atoms
relative energy among the computed polymorphs	6	meV per atom

Cell lengths 3.8779, 3.8779, 11.4194 Å; angles 90.00, 90.00, 90.00 degrees
With the nearest neighbours (Å) after each atom.
Space group P4/mmm (No. 123)
Asymmetric unit:
1 Ca 0.0000 0.0000 0.0000 [1 per cell]  8 Cd 3.34
2 Ca 0.0000 0.0000 0.3309 [2 per cell]  4 Cd 3.32, 4 Tl 3.35
3 Tl 0.5000 0.5000 0.5000 [1 per cell]  8 Ca 3.35
4 Cd 0.5000 0.5000 0.1672 [2 per cell]  8 Ca 3.32-3.34

---

[5]
This record from Alexandria describes a relaxed structure of Ca3Tl5Cd2. The functional is PBE.

Results
energy relative to the elements	-11.3	kJ per mole of atoms

Cell lengths 9.3661, 12.7202, 10.7615 Å; angles 90.00, 90.00, 90.00 degrees
With the nearest neighbours (Å) after each atom.
Space group Ibam (No. 72)
Asymmetric unit:
1 Ca 0.0000 0.0000 0.2500 [4 per cell]  4 Cd 3.20, 2 Tl 3.21
2 Ca 0.1345 0.3719 0.0000 [8 per cell]  2 Cd 3.14-3.39, 7 Tl 3.24-3.44
3 Tl 0.0000 0.2524 0.2500 [8 per cell]  2 Cd 3.09, 1 Tl 3.15, 3 Ca 3.21-3.34
4 Tl 0.0000 0.5000 0.2500 [4 per cell]  2 Tl 3.15, 4 Ca 3.39
5 Tl 0.2119 0.3739 0.5000 [8 per cell]  1 Cd 2.98, 2 Ca 3.24-3.31
6 Cd 0.0304 0.1351 0.5000 [8 per cell]  3 Tl 2.98-3.09, 3 Ca 3.14-3.20

---

[6]
This record from Alexandria describes a relaxed structure of Ca2TlCd. The functional is PBE.

Results
energy relative to the elements	-21.9	kJ per mole of atoms

Cell lengths 4.2056, 4.2056, 7.0215 Å; angles 90.00, 90.00, 90.00 degrees
With the nearest neighbours (Å) after each atom.
Space group P4mm (No. 99)
Asymmetric unit:
1 Ca 0.0000 0.0000 0.0000 [1 per cell]  4 Tl 3.30, 1 Cd 3.31
2 Ca 0.5000 0.5000 0.3331 [1 per cell]  1 Tl 3.25, 4 Cd 3.27
3 Tl 0.5000 0.5000 0.7959 [1 per cell]  5 Ca 3.25-3.30, 4 Cd 3.52
4 Cd 0.0000 0.0000 0.5280 [1 per cell]  5 Ca 3.27-3.31, 4 Tl 3.52

---

[7]
This record from Alexandria describes a relaxed structure of CaTl3Cd8. The functional is PBE.

Results
energy relative to the elements	-7.2	kJ per mole of atoms

Cell lengths 6.0633, 6.0633, 29.3809 Å; angles 90.00, 90.00, 120.00 degrees
With the nearest neighbours (Å) after each atom.
Space group R3m (No. 160, hexagonal axes)
Asymmetric unit:
1 Ca 0.0000 0.0000 0.0000 [3 per cell]  12 Cd 3.52-3.56, 4 Tl 3.65-3.71
2 Tl 0.0000 0.0000 0.3753 [3 per cell]  12 Cd 3.50-3.55, 1 Tl 3.67, 3 Ca 3.71
3 Tl 0.0000 0.0000 0.5003 [3 per cell]  12 Cd 3.55-3.56, 4 Tl 3.67-3.71
4 Tl 0.0000 0.0000 0.8758 [3 per cell]  12 Cd 3.55, 1 Ca 3.65, 3 Tl 3.71
5 Cd 0.0000 0.0000 0.1881 [3 per cell]  6 Cd 3.02-3.03
6 Cd 0.0000 0.0000 0.6880 [3 per cell]  6 Cd 2.99-3.00
7 Cd 0.0007 0.5003 0.9389 [9 per cell]  6 Cd 2.99-3.04
8 Cd 0.1671 0.3343 0.7709 [9 per cell]  6 Cd 3.00-3.04

---

[8]
This record from Alexandria describes a relaxed structure of CaTl2Cd6. The functional is PBE.

Results
energy relative to the elements	-7.6	kJ per mole of atoms
relative energy among the computed polymorphs	0	meV per atom

Cell lengths 15.4892, 9.0074, 3.4240 Å; angles 90.00, 101.96, 90.00 degrees
With the nearest neighbours (Å) after each atom.
Space group C2/m (No. 12)
Asymmetric unit:
1 Ca 0.0000 0.0000 0.0000 [2 per cell]  12 Cd 3.34-3.49, 2 Ca 3.42
2 Tl 0.1472 0.5000 0.1276 [4 per cell]  10 Cd 3.11-3.48, 2 Tl 3.42
3 Cd 0.0000 0.3187 0.5000 [4 per cell]  3 Cd 2.96-3.27, 4 Tl 3.23-3.27
4 Cd 0.1737 0.1685 0.6629 [8 per cell]  4 Cd 2.96-3.29, 1 Tl 3.11

---

[9]
This record from Alexandria describes a relaxed structure of Ca10Tl3Cd3. The functional is PBE.

Results
energy relative to the elements	-29.7	kJ per mole of atoms

Cell lengths 9.5365, 9.5365, 6.7053 Å; angles 90.00, 90.00, 120.00 degrees
With the nearest neighbours (Å) after each atom.
Space group P-62m (No. 189)
Asymmetric unit:
1 Ca 0.0000 0.2589 0.0000 [3 per cell]  3 Cd 3.30-3.32, 2 Tl 3.57
2 Ca 0.0000 0.7373 0.5000 [3 per cell]  3 Tl 3.27-3.33, 2 Cd 3.58
3 Ca 0.3333 0.6667 0.2550 [4 per cell]  2 Ca 3.29-3.42, 3 Tl 3.38, 3 Cd 3.39
4 Tl 0.0000 0.3881 0.5000 [3 per cell]  9 Ca 3.27-3.57
5 Cd 0.0000 0.6045 0.0000 [3 per cell]  9 Ca 3.30-3.58

---

[10]
This record from Alexandria describes a relaxed structure of Ca2Tl4Cd. The functional is PBE.

Results
energy relative to the elements	-16.5	kJ per mole of atoms
relative energy among the computed polymorphs	0	meV per atom

Cell lengths 9.4886, 9.4946, 4.7420 Å; angles 90.00, 90.00, 90.00 degrees
With the nearest neighbours (Å) after each atom.
Space group Cmmm (No. 65)
Asymmetric unit:
1 Ca 0.2331 0.0000 0.0000 [4 per cell]  8 Tl 3.33-3.39, 2 Cd 3.47
2 Tl 0.0000 0.2622 0.0000 [4 per cell]  2 Cd 3.27, 4 Ca 3.33-3.39, 4 Tl 3.36
3 Tl 0.2500 0.2500 0.5000 [4 per cell]  2 Cd 3.36, 4 Tl 3.36, 4 Ca 3.36
4 Cd 0.0000 0.5000 0.5000 [2 per cell]  8 Tl 3.27-3.36, 4 Ca 3.47

---

[11]
This record from Alexandria describes a relaxed structure of CaTlCd. The functional is PBE.

Results
energy relative to the elements	-13.6	kJ per mole of atoms

Cell lengths 3.8550, 3.8550, 7.0402 Å; angles 90.00, 90.00, 120.00 degrees
With the nearest neighbours (Å) after each atom.
Space group P3m1 (No. 156)
Asymmetric unit:
1 Ca 0.0000 0.0000 0.0000 [1 per cell]  3 Cd 3.24, 3 Tl 3.33
2 Tl 0.3333 0.6667 0.6474 [1 per cell]  3 Cd 3.14, 3 Ca 3.33
3 Cd 0.6667 0.3333 0.3338 [1 per cell]  3 Tl 3.14, 3 Ca 3.24

---

[12]
This record from Alexandria describes a relaxed structure of CaTl4Cd2. The functional is PBE.

Results
energy relative to the elements	-4.0	kJ per mole of atoms
relative energy among the computed polymorphs	72	meV per atom

Cell lengths 6.9132, 6.9132, 8.8576 Å; angles 90.00, 90.00, 90.00 degrees
With the nearest neighbours (Å) after each atom.
Space group I4/mmm (No. 139)
Asymmetric unit:
1 Ca 0.0000 0.0000 0.0000 [2 per cell]  8 Tl 3.30, 4 Cd 3.46
2 Tl 0.2500 0.2500 0.2500 [8 per cell]  4 Cd 3.30, 2 Ca 3.30, 4 Tl 3.46
3 Cd 0.0000 0.5000 0.0000 [4 per cell]  8 Tl 3.30, 2 Ca 3.46

---

[13]
This record from Alexandria describes a relaxed structure of CaTl4Cd. The functional is PBE.

Results
energy relative to the elements	0.2	kJ per mole of atoms
relative energy among the computed polymorphs	133	meV per atom

Cell lengths 9.0842, 9.0842, 9.0842 Å; angles 90.00, 90.00, 90.00 degrees
With the nearest neighbours (Å) after each atom.
Space group F-43m (No. 216)
Asymmetric unit:
1 Ca 0.0000 0.0000 0.0000 [4 per cell]  12 Tl 3.77, 4 Cd 3.93
2 Tl 0.1249 0.1249 0.3751 [16 per cell]  6 Tl 3.21
3 Cd 0.2500 0.2500 0.7500 [4 per cell]  12 Tl 3.77, 4 Ca 3.93

---

[14]
This record from Alexandria describes a relaxed structure of Ca3TlCd. The functional is PBE.

Results
energy relative to the elements	-32.7	kJ per mole of atoms
relative energy among the computed polymorphs	0	meV per atom

Cell lengths 5.4949, 20.7658, 5.4966 Å; angles 90.00, 90.00, 90.00 degrees
With the nearest neighbours (Å) after each atom.
Space group Cmcm (No. 63)
Asymmetric unit:
1 Ca 0.0000 0.0687 0.2500 [4 per cell]  2 Tl 3.29, 2 Cd 3.29
2 Ca 0.0000 0.2498 0.2500 [4 per cell]  4 Cd 3.37, 4 Tl 3.37, 2 Ca 3.76-3.77
3 Ca 0.0000 0.4312 0.2500 [4 per cell]  2 Tl 3.29, 2 Cd 3.29
4 Tl 0.0000 0.1558 0.7500 [4 per cell]  8 Ca 3.29-3.37
5 Cd 0.0000 0.3439 0.7500 [4 per cell]  8 Ca 3.29-3.37

---

[15]
This record from Alexandria describes a relaxed structure of CaTl5Cd. The functional is PBE.

Results
energy relative to the elements	-9.2	kJ per mole of atoms
relative energy among the computed polymorphs	0	meV per atom

Cell lengths 5.2657, 5.2657, 7.5992 Å; angles 90.00, 90.00, 90.00 degrees
With the nearest neighbours (Å) after each atom.
Space group P4/mmm (No. 123)
Asymmetric unit:
1 Ca 0.0000 0.0000 0.0000 [1 per cell]  12 Tl 3.38-3.72
2 Tl 0.0000 0.5000 0.2779 [4 per cell]  2 Cd 3.13, 3 Tl 3.37-3.38, 2 Ca 3.38
3 Tl 0.5000 0.5000 0.0000 [1 per cell]  8 Tl 3.38, 4 Ca 3.72
4 Cd 0.0000 0.0000 0.5000 [1 per cell]  8 Tl 3.13

---

[16]
This record from Alexandria describes a relaxed structure of CaTlCd. The functional is PBE.

Results
energy relative to the elements	5.5	kJ per mole of atoms

Cell lengths 7.3655, 7.3655, 7.3655 Å; angles 90.00, 90.00, 90.00 degrees
With the nearest neighbours (Å) after each atom.
Space group F-43m (No. 216)
Asymmetric unit:
1 Ca 0.0000 0.0000 0.0000 [4 per cell]  4 Cd 3.19, 4 Tl 3.19
2 Tl 0.2500 0.2500 0.2500 [4 per cell]  4 Ca 3.19
3 Cd 0.2500 0.2500 0.7500 [4 per cell]  4 Ca 3.19

---

[17]
This record from Alexandria describes a relaxed structure of Ca2Tl3Cd2. The functional is PBE.

Results
energy relative to the elements	-22.6	kJ per mole of atoms

Cell lengths 11.2669, 5.1455, 6.8040 Å; angles 90.00, 90.53, 90.00 degrees
With the nearest neighbours (Å) after each atom.
Space group C2/m (No. 12)
Asymmetric unit:
1 Ca 0.0996 0.0000 0.2340 [4 per cell]  5 Cd 3.34-3.71, 6 Tl 3.35-3.48
2 Tl 0.0000 0.5000 0.5000 [2 per cell]  2 Cd 3.16, 4 Ca 3.35
3 Tl 0.2068 0.0000 0.7008 [4 per cell]  3 Cd 3.15-3.21, 4 Ca 3.39-3.48
4 Cd 0.1188 0.5000 0.9228 [4 per cell]  1 Cd 2.88, 4 Tl 3.15-3.21

---

[18]
This record from Alexandria describes a relaxed structure of Ca2TlCd. The functional is PBE.

Results
energy relative to the elements	-30.8	kJ per mole of atoms

Cell lengths 11.7937, 3.8178, 5.5419 Å; angles 90.00, 107.49, 90.00 degrees
With the nearest neighbours (Å) after each atom.
Space group Cm (No. 8)
Asymmetric unit:
1 Ca 0.0000 0.0000 0.0000 [2 per cell]  3 Cd 3.36-3.38, 4 Tl 3.38-3.39, 2 Ca 3.63-3.71
2 Ca 0.2139 0.0000 0.6459 [2 per cell]  3 Tl 3.35-3.40, 4 Cd 3.37-3.41, 2 Ca 3.63-3.71
3 Tl 0.4637 0.0000 0.4780 [2 per cell]  2 Cd 3.24, 7 Ca 3.35-3.40
4 Cd 0.2480 0.5000 0.1631 [2 per cell]  2 Tl 3.24, 7 Ca 3.36-3.41

---

[19]
This record from Alexandria describes a relaxed structure of Ca2TlCd. The functional is PBE.

Results
energy relative to the elements	-22.3	kJ per mole of atoms

Cell lengths 3.8670, 3.8670, 29.3965 Å; angles 90.00, 90.00, 120.00 degrees
With the nearest neighbours (Å) after each atom.
Space group R-3m (No. 166, hexagonal axes)
Asymmetric unit:
1 Ca 0.0000 0.0000 0.2489 [6 per cell]  3 Cd 3.29, 3 Tl 3.34
2 Tl 0.0000 0.0000 0.0000 [3 per cell]  6 Ca 3.34
3 Cd 0.0000 0.0000 0.5000 [3 per cell]  6 Ca 3.29

---

[20]
This record from Alexandria describes a relaxed structure of Ca5Tl4Cd. The functional is PBE.

Results
energy relative to the elements	-41.2	kJ per mole of atoms

Cell lengths 3.8838, 3.8838, 19.3768 Å; angles 90.00, 90.00, 90.00 degrees
With the nearest neighbours (Å) after each atom.
Space group P4/mmm (No. 123)
Asymmetric unit:
1 Ca 0.0000 0.0000 0.0000 [1 per cell]  8 Tl 3.37
2 Ca 0.0000 0.0000 0.2016 [2 per cell]  8 Tl 3.36-3.37
3 Ca 0.0000 0.0000 0.4021 [2 per cell]  4 Cd 3.34, 4 Tl 3.37
4 Tl 0.5000 0.5000 0.1009 [2 per cell]  8 Ca 3.37
5 Tl 0.5000 0.5000 0.3014 [2 per cell]  8 Ca 3.36-3.37
6 Cd 0.5000 0.5000 0.5000 [1 per cell]  8 Ca 3.34

---

[21]
This record from Alexandria describes a relaxed structure of Ca3TlCd2. The functional is PBE.

Results
energy relative to the elements	-38.4	kJ per mole of atoms
relative energy among the computed polymorphs	0	meV per atom

Cell lengths 5.3855, 16.0902, 3.9618 Å; angles 90.00, 90.00, 90.00 degrees
With the nearest neighbours (Å) after each atom.
Space group Cmmm (No. 65)
Asymmetric unit:
1 Ca 0.0000 0.0000 0.0000 [2 per cell]  4 Cd 3.34, 4 Tl 3.34
2 Ca 0.0000 0.3332 0.0000 [4 per cell]  6 Cd 3.33-3.34, 2 Tl 3.34
3 Tl 0.0000 0.5000 0.5000 [2 per cell]  8 Ca 3.34
4 Cd 0.0000 0.1669 0.5000 [4 per cell]  8 Ca 3.33-3.34

---

[22]
This record from Alexandria describes a relaxed structure of Ca5TlCd4. The functional is PBE.

Results
energy relative to the elements	-36.5	kJ per mole of atoms

Cell lengths 3.8501, 3.8501, 19.2228 Å; angles 90.00, 90.00, 90.00 degrees
With the nearest neighbours (Å) after each atom.
Space group P4/mmm (No. 123)
Asymmetric unit:
1 Ca 0.0000 0.0000 0.0000 [1 per cell]  8 Cd 3.33
2 Ca 0.0000 0.0000 0.2000 [2 per cell]  8 Cd 3.32-3.34
3 Ca 0.0000 0.0000 0.3986 [2 per cell]  4 Cd 3.33, 4 Tl 3.35
4 Tl 0.5000 0.5000 0.5000 [1 per cell]  8 Ca 3.35
5 Cd 0.5000 0.5000 0.0995 [2 per cell]  8 Ca 3.33-3.34
6 Cd 0.5000 0.5000 0.2993 [2 per cell]  8 Ca 3.32-3.33

---

[23]
This record from Alexandria describes a relaxed structure of Ca2Tl5Cd3. The functional is PBE.

Results
energy relative to the elements	-8.2	kJ per mole of atoms

Cell lengths 12.9917, 13.8069, 6.6381 Å; angles 90.00, 90.00, 90.00 degrees
With the nearest neighbours (Å) after each atom.
Space group Ibam (No. 72)
Asymmetric unit:
1 Ca 0.1320 0.2197 0.0000 [8 per cell]  8 Tl 3.49-3.86, 4 Cd 3.50-3.64
2 Tl 0.0000 0.0000 0.2500 [4 per cell]  4 Cd 3.09, 4 Tl 3.32-3.40
3 Tl 0.1012 0.3451 0.5000 [8 per cell]  3 Cd 2.87-3.01
4 Tl 0.2386 0.5000 0.2500 [8 per cell]  3 Cd 3.03-3.10, 4 Tl 3.24-3.32
5 Cd 0.0000 0.5000 0.2500 [4 per cell]  6 Tl 3.01-3.10, 2 Cd 3.32
6 Cd 0.1352 0.1396 0.5000 [8 per cell]  5 Tl 2.87-3.09

---

[24]
This record from Alexandria describes a relaxed structure of CaTlCd. The functional is PBE.

Results
energy relative to the elements	-30.9	kJ per mole of atoms

Cell lengths 5.1010, 5.1010, 3.6565 Å; angles 90.00, 90.00, 120.00 degrees
With the nearest neighbours (Å) after each atom.
Space group P-6m2 (No. 187)
Asymmetric unit:
1 Ca 0.0000 0.0000 0.0000 [1 per cell]  6 Cd 3.47, 6 Tl 3.47, 2 Ca 3.66
2 Tl 0.3333 0.6667 0.5000 [1 per cell]  3 Cd 2.95
3 Cd 0.6667 0.3333 0.5000 [1 per cell]  3 Tl 2.95